Here is a geometry-optimized Li2Mn3F8 structure from Alexandria. Energies are from GGA-PBEsol.

Calculated values
Energy above the lowest structure with this stoichiometry in kcal/mol of atoms: 1.077
Size of the total moment in μB/f.u.: 15.00
Formation energy without anion corrections in eV/atom: -2.402

Unit cell a=17.656 b=5.918 c=5.598 alpha=90.00 beta=94.09 gamma=90.00
Space group C2/c (No. 15)
Symmetry-distinct sites (fractional):
Li (0.108, 0.128, 0.286) x8
Mn (0.000, 0.374, 0.750) x4
Mn (0.204, 0.320, 0.726) x8
F (0.054, 0.347, 0.088) x8
F (0.090, 0.167, 0.639) x8
F (0.186, 0.356, 0.350) x8
F (0.204, 0.070, 0.971) x8